This record from Alexandria describes a geometry-optimized NaCrSeO4 structure. The functional is PBE with a Hubbard U.

Energy in eV/atom: -5.894
Calculated volume in A^3/atom: 12.220
Magnetization in μB per cell: 5.99
SG: Imma (74)

a = 6.1766 Å, b = 6.1766 Å, c = 6.1766 Å
α = 121.68°, β = 113.58°, γ = 94.29°
Closest atoms and distances in Å follow each position.
Element x y z (fractional)
Na 0.0000 0.0000 0.0000  6 O 2.21-2.35
Na 0.5000 0.0000 0.5000  6 O 2.21-2.35
Cr 0.5000 0.0000 0.0000  6 O 2.01-2.15
Cr 0.5000 0.5000 0.5000  6 O 2.01-2.15
Se 0.1203 0.3703 0.7500  2 O 1.72
Se 0.8797 0.6297 0.2500  2 O 1.72
O 0.2448 0.2669 0.5221  1 Se 1.72
O 0.2448 0.7226 0.9779  1 Se 1.72
O 0.2945 0.7406 0.5539  2 Cr 2.01, 1 Na 2.21
O 0.3133 0.2594 0.0539  2 Cr 2.01, 1 Na 2.21
O 0.6867 0.7406 0.9461  2 Cr 2.01, 1 Na 2.21
O 0.7055 0.2594 0.4461  2 Cr 2.01, 1 Na 2.21
O 0.7552 0.2774 0.0221  1 Se 1.72
O 0.7552 0.7331 0.4779  1 Se 1.72